(1)
VASP calculation (PBE) on GaPtRhO4 after structural relaxation.

## Properties
The value obtained for the total DFT energy (no corrections) is -5.843 eV/atom. The density of states at the Fermi level is 13.4 states/eV/cell. For the formation energy from raw total energies, the calculation gives -0.6643 eV/atom.

Cell: 5.8747 6.7924 8.1872 Å, 90.00 90.00 90.00°
With the nearest neighbours (Å) after each atom.
Space group Imma (No. 74)
Inequivalent atoms, fractional coordinates:
Ga (0.2500, 0.2500, 0.2500)  6 O 2.00-2.04
Pt (0.0000, 0.0000, 0.0000)  6 O 2.07-2.15
Rh (0.0000, 0.2500, 0.6783)  4 O 2.13-2.18
O (0.0000, 0.0506, 0.2495)  2 Ga 2.00, 1 Pt 2.07, 1 Rh 2.13
O (0.2256, 0.2500, 0.0013)  1 Ga 2.04, 2 Pt 2.15, 1 Rh 2.18

***

(2)
VASP calculation (PBE) on NaMgCd6 after structural relaxation.

## Properties
The energy above the lowest structure with this stoichiometry is 0.0 meV/atom. The value obtained for the total DFT energy (no corrections) is -1.136 eV/atom. The density of states at the Fermi level is 0.9 states/eV/cell.

Cell: 6.3422 6.3422 5.1508 Å, 90.00 90.00 120.00°
With the nearest neighbours (Å) after each atom.
Space group P-6m2 (No. 187)
Inequivalent atoms, fractional coordinates:
Na (0.0000, 0.0000, 0.0000)  12 Cd 3.17
Mg (0.3333, 0.6667, 0.5000)  12 Cd 3.16-3.17
Cd (0.3351, 0.1676, 0.5000)  8 Cd 3.15-3.19, 2 Na 3.17, 2 Mg 3.17
Cd (0.5008, 0.0015, 0.0000)  8 Cd 3.15-3.19, 2 Mg 3.16, 2 Na 3.17